(1)
Density functional theory data (PBE) for a relaxed structure of BaNaHgBr.

The structure in CIF format:
```
data_BaNaHgBr
_chemical_formula_sum 'Ba4 Na4 Hg4 Br4'
_cell_length_a 8.170
_cell_length_b 8.170
_cell_length_c 8.170
_cell_angle_alpha 90.00
_cell_angle_beta 90.00
_cell_angle_gamma 90.00
_symmetry_space_group_name_H-M 'F -4 3 m'
_symmetry_Int_Tables_number 216
_symmetry_space_group_name_Hall 'F -4 2 3'
loop_
_atom_site_label
_atom_site_type_symbol
_atom_site_fract_x
_atom_site_fract_y
_atom_site_fract_z
Ba1 Ba 0.000 0.000 0.000
Na1 Na 0.000 0.000 0.500
Hg1 Hg 0.250 0.250 0.750
Br1 Br 0.250 0.250 0.250
```

Summary:
Its uncorrected formation energy is -0.80 eV per atom. The total energy comes out at -0.077 hartree per atom. As for the crystal system: cubic.



(2)
Density functional theory data (PBE) for a relaxed structure of BaNpHgBr6.

The structure in CIF format:
```
data_BaNpHgBr6
_chemical_formula_sum 'Ba1 Np1 Hg1 Br6'
_cell_length_a 8.0248
_cell_length_b 8.0248
_cell_length_c 8.4670
_cell_angle_alpha 90.00
_cell_angle_beta 90.00
_cell_angle_gamma 120.00
_symmetry_space_group_name_H-M 'P 3 1 2'
_symmetry_Int_Tables_number 149
_symmetry_space_group_name_Hall 'P 3 2'
loop_
_atom_site_label
_atom_site_type_symbol
_atom_site_fract_x
_atom_site_fract_y
_atom_site_fract_z
Ba1 Ba 0.0000 0.0000 0.0000
Np1 Np 0.3333 0.6667 0.0000
Hg1 Hg 0.6667 0.3333 0.5000
Br1 Br 0.0565 0.3776 0.1905
```

Summary:
Its uncorrected formation energy is -1.40 eV per atom. The total energy comes out at -0.154 hartree per atom. As for the crystal system: trigonal.



(3)
Density functional theory data (PBE) for a relaxed structure of Ba2HgBr2O2.

The structure in CIF format:
```
data_Ba2HgBr2O2
_chemical_formula_sum 'Ba4 Hg2 Br4 O4'
_cell_length_a 12.347
_cell_length_b 4.354
_cell_length_c 8.478
_cell_angle_alpha 90.00
_cell_angle_beta 121.40
_cell_angle_gamma 90.00
_symmetry_space_group_name_H-M 'C 1 2/m 1'
_symmetry_Int_Tables_number 12
_symmetry_space_group_name_Hall '-C 2y'
loop_
_atom_site_label
_atom_site_type_symbol
_atom_site_fract_x
_atom_site_fract_y
_atom_site_fract_z
Ba1 Ba 0.194 0.000 0.259
Hg1 Hg 0.000 0.000 0.500
Br1 Br 0.075 0.500 0.864
O1 O 0.183 0.000 0.565
```

Summary:
Its uncorrected formation energy is -1.93 eV per atom. The total energy comes out at -0.162 hartree per atom. As for the crystal system: monoclinic.



(4)
Density functional theory data (PBE) for a relaxed structure of BaHgBr2O.

The structure in CIF format:
```
data_BaHgBr2O
_chemical_formula_sum 'Ba4 Hg4 Br8 O4'
_cell_length_a 4.384
_cell_length_b 13.076
_cell_length_c 9.549
_cell_angle_alpha 90.00
_cell_angle_beta 90.00
_cell_angle_gamma 90.00
_symmetry_space_group_name_H-M 'C m c m'
_symmetry_Int_Tables_number 63
_symmetry_space_group_name_Hall '-C 2c 2'
loop_
_atom_site_label
_atom_site_type_symbol
_atom_site_fract_x
_atom_site_fract_y
_atom_site_fract_z
Ba1 Ba 0.000 0.174 0.250
Hg1 Hg 0.000 0.500 0.000
Br1 Br 0.000 0.141 0.576
O1 O 0.000 0.432 0.750
```

Summary:
Its uncorrected formation energy is -1.24 eV per atom. The total energy comes out at -0.123 hartree per atom. As for the crystal system: orthorhombic.



(5)
Density functional theory data (PBE) for a relaxed structure of Ba6HgP2Br3.

The structure in CIF format:
```
data_Ba6HgP2Br3
_chemical_formula_sum 'Ba12 Hg2 P4 Br6'
_cell_length_a 21.215
_cell_length_b 4.712
_cell_length_c 9.880
_cell_angle_alpha 90.00
_cell_angle_beta 104.15
_cell_angle_gamma 90.00
_symmetry_space_group_name_H-M 'C 1 2/m 1'
_symmetry_Int_Tables_number 12
_symmetry_space_group_name_Hall '-C 2y'
loop_
_atom_site_label
_atom_site_type_symbol
_atom_site_fract_x
_atom_site_fract_y
_atom_site_fract_z
Ba1 Ba 0.013 0.000 0.254
Ba2 Ba 0.166 0.500 0.115
Ba3 Ba 0.176 0.500 0.563
Hg1 Hg 0.000 0.500 0.000
P1 P 0.168 0.000 0.338
Br1 Br 0.000 0.500 0.500
Br2 Br 0.168 0.000 0.831
```

Summary:
Its uncorrected formation energy is -1.35 eV per atom. The total energy comes out at -0.134 hartree per atom. As for the crystal system: monoclinic.



(6)
Density functional theory data (PBE) for a relaxed structure of BaHgPb2Br.

The structure in CIF format:
```
data_BaHgPb2Br
_chemical_formula_sum 'Ba1 Hg1 Pb2 Br1'
_cell_length_a 6.763
_cell_length_b 6.763
_cell_length_c 6.147
_cell_angle_alpha 90.00
_cell_angle_beta 90.00
_cell_angle_gamma 90.00
_symmetry_space_group_name_H-M 'P 4/m m m'
_symmetry_Int_Tables_number 123
_symmetry_space_group_name_Hall '-P 4 2'
loop_
_atom_site_label
_atom_site_type_symbol
_atom_site_fract_x
_atom_site_fract_y
_atom_site_fract_z
Ba1 Ba 0.000 0.000 0.000
Hg1 Hg 0.500 0.500 0.500
Pb1 Pb 0.000 0.500 0.000
Br1 Br 0.000 0.000 0.500
```

Summary:
Its uncorrected formation energy is 0.16 eV per atom. The total energy comes out at -0.077 hartree per atom. As for the crystal system: tetragonal.



(7)
Density functional theory data (PBE) for a relaxed structure of Ba6HgPd2Br3.

The structure in CIF format:
```
data_Ba6HgPd2Br3
_chemical_formula_sum 'Ba12 Hg2 Pd4 Br6'
_cell_length_a 21.694
_cell_length_b 4.659
_cell_length_c 10.033
_cell_angle_alpha 90.00
_cell_angle_beta 109.06
_cell_angle_gamma 90.00
_symmetry_space_group_name_H-M 'C 1 2/m 1'
_symmetry_Int_Tables_number 12
_symmetry_space_group_name_Hall '-C 2y'
loop_
_atom_site_label
_atom_site_type_symbol
_atom_site_fract_x
_atom_site_fract_y
_atom_site_fract_z
Ba1 Ba 0.010 0.000 0.248
Ba2 Ba 0.165 0.500 0.108
Ba3 Ba 0.176 0.500 0.561
Hg1 Hg 0.000 0.500 0.000
Pd1 Pd 0.167 0.000 0.332
Br1 Br 0.000 0.500 0.500
Br2 Br 0.167 0.000 0.830
```

Summary:
Its uncorrected formation energy is -1.09 eV per atom. The total energy comes out at -0.123 hartree per atom. As for the crystal system: monoclinic.



(8)
Density functional theory data (PBE) for a relaxed structure of BaHg2PdBr.

The structure in CIF format:
```
data_BaHg2PdBr
_chemical_formula_sum 'Ba1 Hg2 Pd1 Br1'
_cell_length_a 5.275
_cell_length_b 5.275
_cell_length_c 6.130
_cell_angle_alpha 90.00
_cell_angle_beta 90.00
_cell_angle_gamma 90.00
_symmetry_space_group_name_H-M 'P 4/m m m'
_symmetry_Int_Tables_number 123
_symmetry_space_group_name_Hall '-P 4 2'
loop_
_atom_site_label
_atom_site_type_symbol
_atom_site_fract_x
_atom_site_fract_y
_atom_site_fract_z
Ba1 Ba 0.000 0.000 0.000
Hg1 Hg 0.000 0.500 0.500
Pd1 Pd 0.000 0.000 0.500
Br1 Br 0.500 0.500 0.000
```

Summary:
Its uncorrected formation energy is -0.74 eV per atom. The total energy comes out at -0.096 hartree per atom. As for the crystal system: tetragonal.



(9)
Density functional theory data (PBE) for a relaxed structure of RbBaHgBr5.

The structure in CIF format:
```
data_RbBaHgBr5
_chemical_formula_sum 'Rb4 Ba4 Hg4 Br20'
_cell_length_a 10.226
_cell_length_b 13.597
_cell_length_c 11.336
_cell_angle_alpha 90.00
_cell_angle_beta 113.48
_cell_angle_gamma 90.00
_symmetry_space_group_name_H-M 'C 1 2/c 1'
_symmetry_Int_Tables_number 15
_symmetry_space_group_name_Hall '-C 2yc'
loop_
_atom_site_label
_atom_site_type_symbol
_atom_site_fract_x
_atom_site_fract_y
_atom_site_fract_z
Rb1 Rb 0.000 0.149 0.250
Ba1 Ba 0.000 0.500 0.000
Hg1 Hg 0.000 0.181 0.750
Br1 Br 0.000 0.398 0.250
Br2 Br 0.132 0.287 0.632
Br3 Br 0.167 0.059 0.938
```

Summary:
Its uncorrected formation energy is -1.41 eV per atom. The total energy comes out at -0.105 hartree per atom. As for the crystal system: monoclinic.



(10)
Density functional theory data (PBE) for a relaxed structure of Rb2BaHgBr6.

The structure in CIF format:
```
data_Rb2BaHgBr6
_chemical_formula_sum 'Rb6 Ba3 Hg3 Br18'
_cell_length_a 8.3147
_cell_length_b 8.3147
_cell_length_c 20.4133
_cell_angle_alpha 90.00
_cell_angle_beta 90.00
_cell_angle_gamma 120.00
_symmetry_space_group_name_H-M 'R 3'
_symmetry_Int_Tables_number 146
_symmetry_space_group_name_Hall 'R 3'
loop_
_atom_site_label
_atom_site_type_symbol
_atom_site_fract_x
_atom_site_fract_y
_atom_site_fract_z
Rb1 Rb 0.0000 0.0000 0.0000
Rb2 Rb 0.0000 0.0000 0.4976
Ba1 Ba 0.0000 0.0000 0.7239
Hg1 Hg 0.0000 0.0000 0.2224
Br1 Br 0.0120 0.4167 0.9615
Br2 Br 0.0903 0.7239 0.8024
```

Summary:
Its uncorrected formation energy is -1.45 eV per atom. The total energy comes out at -0.105 hartree per atom. As for the crystal system: trigonal.